Crystalline CrGePdO at its relaxed geometry. Source: Alexandria via LeMat-Bulk, functional PBE with a Hubbard U.

Results
Its theoretical density is 6.6 Mg/m³. The value obtained for the uncorrected energy is -6.268 eV per atom.

```
data_CrGePdO
_chemical_formula_sum 'Cr1 Ge1 Pd1 O1'
_space_group_name_H-M_alt 'P m m 2'
_space_group_IT_number 25
_cell_length_a 3.091
_cell_length_b 3.985
_cell_length_c 5.034
_cell_angle_alpha 90.00
_cell_angle_beta 90.00
_cell_angle_gamma 90.00
loop_
_space_group_symop_operation_xyz
'x,y,z'
'-x,-y,z'
'-x,y,z'
'x,-y,z'
loop_
_atom_site_label
_atom_site_type_symbol
_atom_site_fract_x
_atom_site_fract_y
_atom_site_fract_z
Cr1 Cr 0.000 0.000 0.000
Ge1 Ge 0.000 0.500 0.568
Pd1 Pd 0.500 0.000 0.487
O1 O 0.000 0.500 0.940
```